i:
# LaNdCu2 (GGA-PBE, optimized geometry)
# crystal system: orthorhombic
# calculated density: 7.184 Mg/m³
# magnetic moment: 0.0 Bohr magnetons per cell
data_LaNdCu2
_space_group_name_H-M_alt 'P m c 21'
_space_group_IT_number 26
_space_group_name_Hall 'P 2c -2'
_cell_length_a 4.553
_cell_length_b 5.652
_cell_length_c 7.369
_cell_angle_alpha 90.00
_cell_angle_beta 90.00
_cell_angle_gamma 90.00
loop_
_atom_site_label
_atom_site_type_symbol
_atom_site_fract_x
_atom_site_fract_y
_atom_site_fract_z
La1 La 0.000 0.125 0.000
Nd1 Nd 0.500 0.376 0.359
Cu1 Cu 0.000 0.371 0.644
Cu2 Cu 0.500 0.135 0.713

***

ii:
# LaNdCu2 (GGA-PBE, optimized geometry)
# crystal system: orthorhombic
# calculated density: 7.077 Mg/m³
# magnetic moment: 0.0 Bohr magnetons per cell
data_LaNdCu2
_space_group_name_H-M_alt 'A m m 2'
_space_group_IT_number 38
_space_group_name_Hall 'A 2 -2'
_cell_length_a 4.563
_cell_length_b 3.901
_cell_length_c 10.816
_cell_angle_alpha 90.00
_cell_angle_beta 90.00
_cell_angle_gamma 90.00
loop_
_atom_site_label
_atom_site_type_symbol
_atom_site_fract_x
_atom_site_fract_y
_atom_site_fract_z
La1 La 0.000 0.000 0.000
Nd1 Nd 0.500 0.000 0.717
Cu1 Cu 0.000 0.000 0.291
Cu2 Cu 0.500 0.000 0.423

***

Energy comparison, zero being the most stable, in eV/atom: i 0.000; ii 0.008.

***

i:
# LaNd2Cu2Si4Pd2 (GGA-PBE, optimized geometry)
# crystal system: orthorhombic
# calculated density: 6.802 Mg/m³
# magnetic moment: 0.0 Bohr magnetons per cell
data_LaNd2Cu2Si4Pd2
_space_group_name_H-M_alt 'I m m m'
_space_group_IT_number 71
_space_group_name_Hall '-I 2 2'
_cell_length_a 4.170
_cell_length_b 4.243
_cell_length_c 24.274
_cell_angle_alpha 90.00
_cell_angle_beta 90.00
_cell_angle_gamma 90.00
loop_
_atom_site_label
_atom_site_type_symbol
_atom_site_fract_x
_atom_site_fract_y
_atom_site_fract_z
La1 La 0.000 0.000 0.000
Nd1 Nd 0.000 0.500 0.152
Cu1 Cu 0.000 0.000 0.249
Si1 Si 0.000 0.000 0.451
Si2 Si 0.000 0.500 0.302
Pd1 Pd 0.000 0.500 0.402

***

ii:
# LaNd2Cu2Si4Pd2 (GGA-PBE, optimized geometry)
# crystal system: orthorhombic
# calculated density: 6.815 Mg/m³
# magnetic moment: 0.0 Bohr magnetons per cell
data_LaNd2Cu2Si4Pd2
_space_group_name_H-M_alt 'I m m m'
_space_group_IT_number 71
_space_group_name_Hall '-I 2 2'
_cell_length_a 4.190
_cell_length_b 4.277
_cell_length_c 23.920
_cell_angle_alpha 90.00
_cell_angle_beta 90.00
_cell_angle_gamma 90.00
loop_
_atom_site_label
_atom_site_type_symbol
_atom_site_fract_x
_atom_site_fract_y
_atom_site_fract_z
La1 La 0.000 0.000 0.000
Nd1 Nd 0.000 0.500 0.352
Cu1 Cu 0.000 0.500 0.097
Si1 Si 0.000 0.000 0.449
Si2 Si 0.000 0.500 0.195
Pd1 Pd 0.000 0.000 0.249

***

Energy comparison, zero being the most stable, in eV/atom: i 0.000; ii 0.007.

***

i:
# La2PrCu2Si4Ni2 (GGA-PBE, optimized geometry)
# crystal system: orthorhombic
# calculated density: 6.211 Mg/m³
# magnetic moment: 0.0 Bohr magnetons per cell
data_La2PrCu2Si4Ni2
_space_group_name_H-M_alt 'I m m m'
_space_group_IT_number 71
_space_group_name_Hall '-I 2 2'
_cell_length_a 4.153
_cell_length_b 4.191
_cell_length_c 23.829
_cell_angle_alpha 90.00
_cell_angle_beta 90.00
_cell_angle_gamma 90.00
loop_
_atom_site_label
_atom_site_type_symbol
_atom_site_fract_x
_atom_site_fract_y
_atom_site_fract_z
La1 La 0.000 0.000 0.152
Pr1 Pr 0.000 0.500 0.500
Cu1 Cu 0.000 0.000 0.402
Si1 Si 0.000 0.000 0.298
Si2 Si 0.000 0.500 0.050
Ni1 Ni 0.000 0.500 0.251

***

ii:
# La2PrCu2Si4Ni2 (GGA-PBE, optimized geometry)
# crystal system: orthorhombic
# calculated density: 6.224 Mg/m³
# magnetic moment: 0.0 Bohr magnetons per cell
data_La2PrCu2Si4Ni2
_space_group_name_H-M_alt 'I m m m'
_space_group_IT_number 71
_space_group_name_Hall '-I 2 2'
_cell_length_a 4.111
_cell_length_b 4.224
_cell_length_c 23.831
_cell_angle_alpha 90.00
_cell_angle_beta 90.00
_cell_angle_gamma 90.00
loop_
_atom_site_label
_atom_site_type_symbol
_atom_site_fract_x
_atom_site_fract_y
_atom_site_fract_z
La1 La 0.000 0.000 0.149
Pr1 Pr 0.000 0.500 0.500
Cu1 Cu 0.000 0.500 0.251
Si1 Si 0.000 0.000 0.305
Si2 Si 0.000 0.500 0.051
Ni1 Ni 0.000 0.000 0.403

***

Energy comparison, zero being the most stable, in eV/atom: i 0.000; ii 0.026.

***

i:
# LaZrCuNi (GGA-PBE, optimized geometry)
# crystal system: cubic
# calculated density: 8.203 Mg/m³
# magnetic moment: 0.0 Bohr magnetons per cell
data_LaZrCuNi
_space_group_name_H-M_alt 'F -4 3 m'
_space_group_IT_number 216
_space_group_name_Hall 'F -4 2 3'
_cell_length_a 6.583
_cell_length_b 6.583
_cell_length_c 6.583
_cell_angle_alpha 90.00
_cell_angle_beta 90.00
_cell_angle_gamma 90.00
loop_
_atom_site_label
_atom_site_type_symbol
_atom_site_fract_x
_atom_site_fract_y
_atom_site_fract_z
La1 La 0.000 0.000 0.000
Zr1 Zr 0.250 0.250 0.250
Cu1 Cu 0.000 0.000 0.500
Ni1 Ni 0.250 0.250 0.750

***

ii:
# LaZrCuNi (GGA-PBE, optimized geometry)
# crystal system: cubic
# calculated density: 7.338 Mg/m³
# magnetic moment: 0.0 Bohr magnetons per cell
data_LaZrCuNi
_space_group_name_H-M_alt 'F -4 3 m'
_space_group_IT_number 216
_space_group_name_Hall 'F -4 2 3'
_cell_length_a 6.832
_cell_length_b 6.832
_cell_length_c 6.832
_cell_angle_alpha 90.00
_cell_angle_beta 90.00
_cell_angle_gamma 90.00
loop_
_atom_site_label
_atom_site_type_symbol
_atom_site_fract_x
_atom_site_fract_y
_atom_site_fract_z
La1 La 0.000 0.000 0.000
Zr1 Zr 0.000 0.000 0.500
Cu1 Cu 0.250 0.250 0.750
Ni1 Ni 0.250 0.250 0.250

***

Energy comparison, zero being the most stable, in eV/atom: i 0.146; ii 0.000.

***

i:
# LaCuSn2Pd (GGA-PBE, optimized geometry)
# crystal system: monoclinic
# calculated density: 8.076 Mg/m³
# magnetic moment: 0.0 Bohr magnetons per cell
data_LaCuSn2Pd
_space_group_name_H-M_alt 'P 1 21/m 1'
_space_group_IT_number 11
_space_group_name_Hall '-P 2yb'
_cell_length_a 4.584
_cell_length_b 4.523
_cell_length_c 10.837
_cell_angle_alpha 90.00
_cell_angle_beta 91.20
_cell_angle_gamma 90.00
loop_
_atom_site_label
_atom_site_type_symbol
_atom_site_fract_x
_atom_site_fract_y
_atom_site_fract_z
La1 La 0.236 0.250 0.240
Cu1 Cu 0.196 0.750 0.001
Sn1 Sn 0.251 0.750 0.499
Sn2 Sn 0.293 0.250 0.879
Pd1 Pd 0.255 0.250 0.635

***

ii:
# LaCuSn2Pd (GGA-PBE, optimized geometry)
# crystal system: tetragonal
# calculated density: 8.103 Mg/m³
# magnetic moment: 0.0 Bohr magnetons per cell
data_LaCuSn2Pd
_space_group_name_H-M_alt 'P 4/n m m'
_space_group_IT_number 129
_cell_length_a 4.581
_cell_length_b 4.581
_cell_length_c 10.667
_cell_angle_alpha 90.00
_cell_angle_beta 90.00
_cell_angle_gamma 90.00
loop_
_space_group_symop_operation_xyz
'x,y,z'
'-x,-y,-z'
'-y+1/2,x,z'
'y+1/2,-x,-z'
'-x+1/2,-y+1/2,z'
'x+1/2,y+1/2,-z'
'y,-x+1/2,z'
'-y,x+1/2,-z'
'x+1/2,-y,-z'
'-x+1/2,y,z'
'-y,-x,-z'
'y,x,z'
'-x,y+1/2,-z'
'x,-y+1/2,z'
'y+1/2,x+1/2,-z'
'-y+1/2,-x+1/2,z'
loop_
_atom_site_label
_atom_site_type_symbol
_atom_site_fract_x
_atom_site_fract_y
_atom_site_fract_z
La1 La 0.250 0.250 0.243
Cu1 Cu 0.250 0.250 0.630
Sn1 Sn 0.250 0.250 0.869
Sn2 Sn 0.250 0.750 0.500
Pd1 Pd 0.250 0.750 0.000

***

Energy comparison, zero being the most stable, in eV/atom: i 0.000; ii 0.017.

***

i:
# LaPrCu2 (GGA-PBE, optimized geometry)
# crystal system: monoclinic
# calculated density: 6.902 Mg/m³
# magnetic moment: 0.0 Bohr magnetons per cell
data_LaPrCu2
_space_group_name_H-M_alt 'P 1 21/m 1'
_space_group_IT_number 11
_space_group_name_Hall '-P 2yb'
_cell_length_a 5.708
_cell_length_b 4.603
_cell_length_c 7.451
_cell_angle_alpha 90.00
_cell_angle_beta 90.27
_cell_angle_gamma 90.00
loop_
_atom_site_label
_atom_site_type_symbol
_atom_site_fract_x
_atom_site_fract_y
_atom_site_fract_z
La1 La 0.131 0.250 0.182
Pr1 Pr 0.370 0.250 0.679
Cu1 Cu 0.122 0.750 0.468
Cu2 Cu 0.381 0.750 0.966

***

ii:
# LaPrCu2 (GGA-PBE, optimized geometry)
# crystal system: orthorhombic
# calculated density: 7.028 Mg/m³
# magnetic moment: 0.0 Bohr magnetons per cell
data_LaPrCu2
_space_group_name_H-M_alt 'A m m 2'
_space_group_IT_number 38
_space_group_name_Hall 'A 2 -2'
_cell_length_a 4.526
_cell_length_b 3.923
_cell_length_c 10.830
_cell_angle_alpha 90.00
_cell_angle_beta 90.00
_cell_angle_gamma 90.00
loop_
_atom_site_label
_atom_site_type_symbol
_atom_site_fract_x
_atom_site_fract_y
_atom_site_fract_z
La1 La 0.000 0.000 0.000
Pr1 Pr 0.500 0.000 0.717
Cu1 Cu 0.000 0.000 0.293
Cu2 Cu 0.500 0.000 0.422

***

Energy comparison, zero being the most stable, in eV/atom: i 0.000; ii 0.013.